Record 1
Below is crystalline BeTeMo at its relaxed geometry, with properties calculated at the GGA-PBEsol level.

```
data_BeTeMo
_cell_length_a 4.273
_cell_length_b 4.273
_cell_length_c 4.273
_cell_angle_alpha 60.00
_cell_angle_beta 60.00
_cell_angle_gamma 60.00
_space_group_name_H-M_alt 'P 1'
_space_group_IT_number 1
_space_group_name_Hall 'P 1'
loop_
_atom_site_label
_atom_site_type_symbol
_atom_site_fract_x
_atom_site_fract_y
_atom_site_fract_z
Be1 Be 0.000 0.000 0.000
Mo1 Mo 0.500 0.500 0.500
Te1 Te 0.250 0.250 0.250
```

The calculation puts the density of states at the Fermi level at 1.682 states/eV per cell. The distance to the lowest polymorph of the same formula is 842.2 meV/atom.

***

Record 2
Below is crystalline BeTeMo at its relaxed geometry, with properties calculated at the GGA-PBEsol level.

```
data_BeTeMo
_cell_length_a 3.305
_cell_length_b 3.305
_cell_length_c 4.723
_cell_angle_alpha 110.48
_cell_angle_beta 110.48
_cell_angle_gamma 90.00
_space_group_name_H-M_alt 'P 1'
_space_group_IT_number 1
_space_group_name_Hall 'P 1'
loop_
_atom_site_label
_atom_site_type_symbol
_atom_site_fract_x
_atom_site_fract_y
_atom_site_fract_z
Be1 Be 0.009 0.009 0.019
Mo1 Mo 0.660 0.660 0.319
Te1 Te 0.331 0.331 0.662
```

The calculation puts the density of states at the Fermi level at 0.441 states/eV per cell. The distance to the lowest polymorph of the same formula is 0.0 meV/atom.

***

Record 3
Below is crystalline Be2TeMo at its relaxed geometry, with properties calculated at the GGA-PBEsol level.

```
data_Be2TeMo
_cell_length_a 3.372
_cell_length_b 4.020
_cell_length_c 4.020
_cell_angle_alpha 94.75
_cell_angle_beta 90.00
_cell_angle_gamma 90.00
_space_group_name_H-M_alt 'P 1'
_space_group_IT_number 1
_space_group_name_Hall 'P 1'
loop_
_atom_site_label
_atom_site_type_symbol
_atom_site_fract_x
_atom_site_fract_y
_atom_site_fract_z
Be1 Be 0.000 0.500 0.000
Be2 Be 0.000 0.000 0.500
Mo1 Mo 0.500 0.000 0.000
Te1 Te 0.500 0.500 0.500
```

The calculation puts the density of states at the Fermi level at 2.726 states/eV per cell. The calculation puts the raw total energy at -5.3521 eV/atom.

***

Record 4
Below is crystalline BeTeMo2 at its relaxed geometry, with properties calculated at the GGA-PBEsol level.

```
data_BeTeMo2
_cell_length_a 4.397
_cell_length_b 4.397
_cell_length_c 4.397
_cell_angle_alpha 60.00
_cell_angle_beta 60.00
_cell_angle_gamma 60.00
_space_group_name_H-M_alt 'P 1'
_space_group_IT_number 1
_space_group_name_Hall 'P 1'
loop_
_atom_site_label
_atom_site_type_symbol
_atom_site_fract_x
_atom_site_fract_y
_atom_site_fract_z
Be1 Be 0.000 0.000 0.000
Mo1 Mo 0.750 0.750 0.750
Mo2 Mo 0.250 0.250 0.250
Te1 Te 0.500 0.500 0.500
```

The calculation puts the density of states at the Fermi level at 5.074 states/eV per cell. The distance to the lowest polymorph of the same formula is 0.0 meV/atom.

***

Record 5
Below is crystalline Be2TeMo at its relaxed geometry, with properties calculated at the GGA-PBEsol level.

```
data_Be2TeMo
_cell_length_a 2.833
_cell_length_b 2.833
_cell_length_c 8.039
_cell_angle_alpha 90.00
_cell_angle_beta 90.00
_cell_angle_gamma 104.64
_space_group_name_H-M_alt 'P 1'
_space_group_IT_number 1
_space_group_name_Hall 'P 1'
loop_
_atom_site_label
_atom_site_type_symbol
_atom_site_fract_x
_atom_site_fract_y
_atom_site_fract_z
Be1 Be 0.000 0.000 0.296
Be2 Be 0.000 0.000 0.704
Mo1 Mo 0.500 0.500 0.500
Te1 Te 0.500 0.500 0.000
```

The calculation puts the density of states at the Fermi level at 2.067 states/eV per cell. The calculation puts the raw total energy at -5.2227 eV/atom.

***

Record 6
Below is crystalline TiBe2Mo at its relaxed geometry, with properties calculated at the GGA-PBEsol level.

```
data_TiBe2Mo
_cell_length_a 4.069
_cell_length_b 4.069
_cell_length_c 4.069
_cell_angle_alpha 60.00
_cell_angle_beta 60.00
_cell_angle_gamma 60.00
_space_group_name_H-M_alt 'P 1'
_space_group_IT_number 1
_space_group_name_Hall 'P 1'
loop_
_atom_site_label
_atom_site_type_symbol
_atom_site_fract_x
_atom_site_fract_y
_atom_site_fract_z
Be1 Be 0.250 0.250 0.250
Be2 Be 0.750 0.750 0.750
Mo1 Mo 0.500 0.500 0.500
Ti1 Ti 0.000 0.000 0.000
```

The calculation puts the density of states at the Fermi level at 4.894 states/eV per cell. As for the energy relative to the elements: 0.029 eV per atom.

***

Record 7
Below is crystalline Y2TiBeMo at its relaxed geometry, with properties calculated at the GGA-PBEsol level.

```
data_Y2TiBeMo
_cell_length_a 4.290
_cell_length_b 5.040
_cell_length_c 5.040
_cell_angle_alpha 90.00
_cell_angle_beta 90.00
_cell_angle_gamma 90.00
_space_group_name_H-M_alt 'P 1'
_space_group_IT_number 1
_space_group_name_Hall 'P 1'
loop_
_atom_site_label
_atom_site_type_symbol
_atom_site_fract_x
_atom_site_fract_y
_atom_site_fract_z
Y1 Y 0.000 0.000 0.500
Y2 Y 0.000 0.500 0.000
Be1 Be 0.000 0.000 0.000
Mo1 Mo 0.500 0.000 0.000
Ti1 Ti 0.500 0.500 0.500
```

The calculation puts the density of states at the Fermi level at 9.242 states/eV per cell. As for the energy relative to the elements: 0.755 eV per atom.

***

Record 8
Below is crystalline BeTl2Mo at its relaxed geometry, with properties calculated at the GGA-PBEsol level.

```
data_BeTl2Mo
_cell_length_a 3.027
_cell_length_b 5.005
_cell_length_c 5.005
_cell_angle_alpha 108.93
_cell_angle_beta 90.00
_cell_angle_gamma 90.00
_space_group_name_H-M_alt 'P 1'
_space_group_IT_number 1
_space_group_name_Hall 'P 1'
loop_
_atom_site_label
_atom_site_type_symbol
_atom_site_fract_x
_atom_site_fract_y
_atom_site_fract_z
Be1 Be 0.500 0.000 0.000
Tl1 Tl 0.000 0.500 0.000
Tl2 Tl 0.000 0.000 0.500
Mo1 Mo 0.500 0.500 0.500
```

The calculation puts the density of states at the Fermi level at 3.194 states/eV per cell. As for the energy relative to the elements: 0.825 eV per atom. The distance to the lowest polymorph of the same formula is 0.0 meV/atom.

***

Record 9
Below is crystalline BeTl2Mo at its relaxed geometry, with properties calculated at the GGA-PBEsol level.

```
data_BeTl2Mo
_cell_length_a 2.930
_cell_length_b 2.930
_cell_length_c 8.486
_cell_angle_alpha 90.00
_cell_angle_beta 90.00
_cell_angle_gamma 90.00
_space_group_name_H-M_alt 'P 1'
_space_group_IT_number 1
_space_group_name_Hall 'P 1'
loop_
_atom_site_label
_atom_site_type_symbol
_atom_site_fract_x
_atom_site_fract_y
_atom_site_fract_z
Be1 Be 0.500 0.500 0.000
Tl1 Tl 0.000 0.000 0.765
Tl2 Tl 0.000 0.000 0.235
Mo1 Mo 0.500 0.500 0.500
```

The calculation puts the density of states at the Fermi level at 3.113 states/eV per cell. As for the energy relative to the elements: 0.924 eV per atom. The distance to the lowest polymorph of the same formula is 99.3 meV/atom.

***

Record 10
Below is crystalline Be2TlMo at its relaxed geometry, with properties calculated at the GGA-PBEsol level.

```
data_Be2TlMo
_cell_length_a 4.344
_cell_length_b 4.344
_cell_length_c 4.344
_cell_angle_alpha 60.00
_cell_angle_beta 60.00
_cell_angle_gamma 60.00
_space_group_name_H-M_alt 'P 1'
_space_group_IT_number 1
_space_group_name_Hall 'P 1'
loop_
_atom_site_label
_atom_site_type_symbol
_atom_site_fract_x
_atom_site_fract_y
_atom_site_fract_z
Be1 Be 0.000 0.000 0.000
Be2 Be 0.750 0.750 0.750
Tl1 Tl 0.250 0.250 0.250
Mo1 Mo 0.500 0.500 0.500
```

The calculation puts the density of states at the Fermi level at 4.427 states/eV per cell. As for the energy relative to the elements: 0.936 eV per atom. The distance to the lowest polymorph of the same formula is 403.6 meV/atom.

***

Record 11
Below is crystalline Be2TlMo at its relaxed geometry, with properties calculated at the GGA-PBEsol level.

```
data_Be2TlMo
_cell_length_a 2.945
_cell_length_b 2.945
_cell_length_c 6.411
_cell_angle_alpha 90.00
_cell_angle_beta 90.00
_cell_angle_gamma 90.00
_space_group_name_H-M_alt 'P 1'
_space_group_IT_number 1
_space_group_name_Hall 'P 1'
loop_
_atom_site_label
_atom_site_type_symbol
_atom_site_fract_x
_atom_site_fract_y
_atom_site_fract_z
Be1 Be 0.000 0.000 0.069
Be2 Be 0.500 0.500 0.221
Tl1 Tl 0.500 0.500 0.773
Mo1 Mo 0.000 0.000 0.437
```

The calculation puts the density of states at the Fermi level at 2.826 states/eV per cell. As for the energy relative to the elements: 0.533 eV per atom. The distance to the lowest polymorph of the same formula is 0.0 meV/atom.

***

Record 12
Below is crystalline Be2MoW at its relaxed geometry, with properties calculated at the GGA-PBEsol level.

```
data_Be2MoW
_cell_length_a 2.645
_cell_length_b 2.645
_cell_length_c 6.828
_cell_angle_alpha 90.00
_cell_angle_beta 90.00
_cell_angle_gamma 90.00
_space_group_name_H-M_alt 'P 1'
_space_group_IT_number 1
_space_group_name_Hall 'P 1'
loop_
_atom_site_label
_atom_site_type_symbol
_atom_site_fract_x
_atom_site_fract_y
_atom_site_fract_z
Be1 Be 0.000 0.000 0.043
Be2 Be 0.500 0.500 0.207
Mo1 Mo 0.000 0.000 0.456
W1 W 0.500 0.500 0.793
```

The calculation puts the density of states at the Fermi level at 1.674 states/eV per cell. As for the energy relative to the elements: 0.161 eV per atom. The distance to the lowest polymorph of the same formula is 365.6 meV/atom.

***

Record 13
Below is crystalline Be2MoW2 at its relaxed geometry, with properties calculated at the GGA-PBEsol level.

```
data_Be2MoW2
_cell_length_a 3.193
_cell_length_b 6.181
_cell_length_c 6.181
_cell_angle_alpha 90.00
_cell_angle_beta 90.00
_cell_angle_gamma 90.00
_space_group_name_H-M_alt 'P 1'
_space_group_IT_number 1
_space_group_name_Hall 'P 1'
loop_
_atom_site_label
_atom_site_type_symbol
_atom_site_fract_x
_atom_site_fract_y
_atom_site_fract_z
Be1 Be 0.000 0.382 0.882
Be2 Be 0.000 0.882 0.618
Be3 Be 0.000 0.618 0.118
Be4 Be 0.000 0.118 0.382
Mo1 Mo 0.000 0.000 0.000
Mo2 Mo 0.000 0.500 0.500
W1 W 0.500 0.176 0.676
W2 W 0.500 0.676 0.824
W3 W 0.500 0.824 0.324
W4 W 0.500 0.324 0.176
```

The calculation puts the density of states at the Fermi level at 3.002 states/eV per cell. As for the energy relative to the elements: -0.152 eV per atom. The distance to the lowest polymorph of the same formula is 0.0 meV/atom.

***

Record 14
Below is crystalline BeMoW2 at its relaxed geometry, with properties calculated at the GGA-PBEsol level.

```
data_BeMoW2
_cell_length_a 3.171
_cell_length_b 4.269
_cell_length_c 4.990
_cell_angle_alpha 115.33
_cell_angle_beta 108.53
_cell_angle_gamma 90.00
_space_group_name_H-M_alt 'P 1'
_space_group_IT_number 1
_space_group_name_Hall 'P 1'
loop_
_atom_site_label
_atom_site_type_symbol
_atom_site_fract_x
_atom_site_fract_y
_atom_site_fract_z
Be1 Be 0.000 0.500 0.000
Mo1 Mo 0.500 0.000 0.000
W1 W 0.754 0.754 0.508
W2 W 0.246 0.246 0.492
```

The calculation puts the density of states at the Fermi level at 2.234 states/eV per cell. As for the energy relative to the elements: 0.235 eV per atom.

***

Record 15
Below is crystalline Be2MoW at its relaxed geometry, with properties calculated at the GGA-PBEsol level.

```
data_Be2MoW
_cell_length_a 2.561
_cell_length_b 4.002
_cell_length_c 5.006
_cell_angle_alpha 90.00
_cell_angle_beta 90.00
_cell_angle_gamma 90.00
_space_group_name_H-M_alt 'P 1'
_space_group_IT_number 1
_space_group_name_Hall 'P 1'
loop_
_atom_site_label
_atom_site_type_symbol
_atom_site_fract_x
_atom_site_fract_y
_atom_site_fract_z
Be1 Be 0.000 0.000 0.998
Be2 Be 0.500 0.500 0.252
Mo1 Mo 0.000 0.000 0.490
W1 W 0.500 0.500 0.760
```

The calculation puts the density of states at the Fermi level at 2.214 states/eV per cell. As for the energy relative to the elements: 0.424 eV per atom. The distance to the lowest polymorph of the same formula is 628.0 meV/atom.